# CdIn2Ga | Alexandria via LeMat-Bulk | GGA-PBE | optimized geometry
# Calculated formation energy (eV/atom): 0.0938
# Total magnetic moment (μB per formula unit): 0.0
# Raw total energy (eV/atom): -2.261
# Calculated volume (Å³ per cell): 102.3
data_CdIn2Ga
_space_group_name_H-M_alt 'P 1'
_space_group_IT_number 1
_cell_length_a 6.947
_cell_length_b 6.947
_cell_length_c 6.947
_cell_angle_alpha 52.24
_cell_angle_beta 154.09
_cell_angle_gamma 135.47
loop_
_space_group_symop_operation_xyz
'x,y,z'
loop_
_atom_site_label
_atom_site_fract_x
_atom_site_fract_y
_atom_site_fract_z
Cd1 0.000 0.500 0.500
In1 0.000 0.224 0.224
In2 0.000 0.776 0.776
Ga1 0.000 0.000 0.000